w) VASP calculation (GGA-PBE) on crystalline LaTl2Mo at its relaxed geometry. Values from VASP.

Geometry as Quantum ESPRESSO input:
```
&SYSTEM
  ibrav = 0, nat = 4, ntyp = 3
/
ATOMIC_SPECIES
La 138.91 La.upf
Tl 204.38 Tl.upf
Mo 95.94 Mo.upf
ATOMIC_POSITIONS angstrom
La 0.000 0.000 0.000
Tl 0.015 2.220 3.610
Tl 2.050 0.000 2.548
Mo 2.029 2.220 0.717
CELL_PARAMETERS angstrom
4.083 0.000 0.000
0.000 4.441 0.000
-2.023 0.000 5.798
```

x) VASP calculation (GGA-PBE) on crystalline LaTl2Mo at its relaxed geometry. Values from VASP.

Geometry as Quantum ESPRESSO input:
```
&SYSTEM
  ibrav = 0, nat = 4, ntyp = 3
/
ATOMIC_SPECIES
La 138.91 La.upf
Tl 204.38 Tl.upf
Mo 95.94 Mo.upf
ATOMIC_POSITIONS angstrom
La 0.000 0.000 0.000
Tl 0.000 0.000 7.553
Tl 0.000 0.000 23.875
Mo 0.000 0.000 15.714
CELL_PARAMETERS angstrom
1.641 0.948 10.476
-1.641 0.948 10.476
0.000 -1.895 10.476
```

Least stable structure: x)

w) VASP calculation (GGA-PBE) on crystalline LaTl2Mo at its relaxed geometry. Values from VASP.

Geometry as Quantum ESPRESSO input:
```
&SYSTEM
  ibrav = 0, nat = 4, ntyp = 3
/
ATOMIC_SPECIES
La 138.91 La.upf
Tl 204.38 Tl.upf
Mo 95.94 Mo.upf
ATOMIC_POSITIONS angstrom
La 0.000 0.000 0.000
Tl 0.000 0.000 3.270
Tl 1.815 1.815 5.416
Mo 1.815 1.815 1.876
CELL_PARAMETERS angstrom
3.631 0.000 0.000
0.000 3.631 0.000
0.000 0.000 8.004
```

x) VASP calculation (GGA-PBE) on crystalline LaTl2Mo at its relaxed geometry. Values from VASP.

Geometry as Quantum ESPRESSO input:
```
&SYSTEM
  ibrav = 0, nat = 4, ntyp = 3
/
ATOMIC_SPECIES
La 138.91 La.upf
Tl 204.38 Tl.upf
Mo 95.94 Mo.upf
ATOMIC_POSITIONS angstrom
La 0.000 0.000 0.000
Tl 0.000 0.000 4.377
Tl 1.858 0.000 7.125
Mo 1.858 0.000 2.166
CELL_PARAMETERS angstrom
1.858 -2.719 0.000
1.858 2.719 0.000
0.000 0.000 10.166
```

Least stable structure: x)

w) VASP calculation (GGA-PBE) on crystalline LaTl2Mo at its relaxed geometry. Values from VASP.

Geometry as Quantum ESPRESSO input:
```
&SYSTEM
  ibrav = 0, nat = 4, ntyp = 3
/
ATOMIC_SPECIES
La 138.91 La.upf
Tl 204.38 Tl.upf
Mo 95.94 Mo.upf
ATOMIC_POSITIONS angstrom
La 0.000 0.000 0.000
Tl 0.000 0.000 4.876
Tl 0.000 2.292 2.438
Mo 2.292 0.000 2.438
CELL_PARAMETERS angstrom
-2.292 2.292 4.876
2.292 -2.292 4.876
2.292 2.292 -4.876
```

x) VASP calculation (GGA-PBE) on crystalline LaTl2Mo at its relaxed geometry. Values from VASP.

Geometry as Quantum ESPRESSO input:
```
&SYSTEM
  ibrav = 0, nat = 4, ntyp = 3
/
ATOMIC_SPECIES
La 138.91 La.upf
Tl 204.38 Tl.upf
Mo 95.94 Mo.upf
ATOMIC_POSITIONS angstrom
La 0.000 0.000 0.000
Tl 3.760 3.760 3.760
Tl 5.640 5.640 5.640
Mo 1.880 1.880 1.880
CELL_PARAMETERS angstrom
0.000 3.760 3.760
3.760 0.000 3.760
3.760 3.760 0.000
```

y) VASP calculation (GGA-PBE) on crystalline LaTl2Mo at its relaxed geometry. Values from VASP.

Geometry as Quantum ESPRESSO input:
```
&SYSTEM
  ibrav = 0, nat = 4, ntyp = 3
/
ATOMIC_SPECIES
La 138.91 La.upf
Tl 204.38 Tl.upf
Mo 95.94 Mo.upf
ATOMIC_POSITIONS angstrom
La 0.000 0.000 0.000
Tl 0.000 0.000 4.974
Tl 0.000 2.438 2.528
Mo 1.622 0.000 2.556
CELL_PARAMETERS angstrom
-1.622 2.438 6.798
1.622 -2.438 6.798
1.622 2.438 -6.798
```

Least stable structure: x)

w) VASP calculation (GGA-PBE) on crystalline LaTlMo3 at its relaxed geometry. Values from VASP.

Geometry as Quantum ESPRESSO input:
```
&SYSTEM
  ibrav = 0, nat = 5, ntyp = 3
/
ATOMIC_SPECIES
La 138.91 La.upf
Tl 204.38 Tl.upf
Mo 95.94 Mo.upf
ATOMIC_POSITIONS angstrom
La 0.000 0.000 0.000
Tl 2.541 2.541 2.541
Mo 0.000 2.541 2.541
Mo 2.541 0.000 2.541
Mo 2.541 2.541 0.000
CELL_PARAMETERS angstrom
5.081 0.000 0.000
0.000 5.081 0.000
0.000 0.000 5.081
```

x) VASP calculation (GGA-PBE) on crystalline LaTlMo3 at its relaxed geometry. Values from VASP.

Geometry as Quantum ESPRESSO input:
```
&SYSTEM
  ibrav = 0, nat = 5, ntyp = 3
/
ATOMIC_SPECIES
La 138.91 La.upf
Tl 204.38 Tl.upf
Mo 95.94 Mo.upf
ATOMIC_POSITIONS angstrom
La 0.000 0.000 0.000
Tl 2.435 2.435 2.435
Mo 0.000 0.000 2.435
Mo 0.000 2.435 0.000
Mo 2.435 0.000 0.000
CELL_PARAMETERS angstrom
4.870 0.000 0.000
0.000 4.870 0.000
0.000 0.000 4.870
```

Least stable structure: x)

w) VASP calculation (GGA-PBE) on crystalline LaV3Mo at its relaxed geometry. Values from VASP.

Geometry as Quantum ESPRESSO input:
```
&SYSTEM
  ibrav = 0, nat = 5, ntyp = 3
/
ATOMIC_SPECIES
La 138.91 La.upf
V 50.94 V.upf
Mo 95.94 Mo.upf
ATOMIC_POSITIONS angstrom
La 0.000 0.000 0.000
V 0.000 0.000 2.259
V 0.000 2.259 0.000
V 2.259 0.000 0.000
Mo 2.259 2.259 2.259
CELL_PARAMETERS angstrom
4.519 0.000 0.000
0.000 4.519 0.000
0.000 0.000 4.519
```

x) VASP calculation (GGA-PBE) on crystalline LaV3Mo at its relaxed geometry. Values from VASP.

Geometry as Quantum ESPRESSO input:
```
&SYSTEM
  ibrav = 0, nat = 5, ntyp = 3
/
ATOMIC_SPECIES
La 138.91 La.upf
V 50.94 V.upf
Mo 95.94 Mo.upf
ATOMIC_POSITIONS angstrom
La 0.000 0.000 0.000
V 0.000 2.386 2.386
V 2.386 0.000 2.386
V 2.386 2.386 0.000
Mo 2.386 2.386 2.386
CELL_PARAMETERS angstrom
4.772 0.000 0.000
0.000 4.772 0.000
0.000 0.000 4.772
```

Least stable structure: w)

w) VASP calculation (GGA-PBE) on crystalline LaMo2W at its relaxed geometry. Values from VASP.

Geometry as Quantum ESPRESSO input:
```
&SYSTEM
  ibrav = 0, nat = 8, ntyp = 3
/
ATOMIC_SPECIES
La 138.91 La.upf
Mo 95.94 Mo.upf
W 183.84 W.upf
ATOMIC_POSITIONS angstrom
La 0.000 0.000 0.000
La 0.000 2.218 4.677
Mo 1.109 -0.626 7.016
Mo 1.592 1.109 2.339
Mo 1.109 2.844 -2.339
Mo 0.626 1.109 11.693
W 2.218 0.000 4.677
W 0.000 0.000 9.354
CELL_PARAMETERS angstrom
-2.218 2.218 9.354
2.218 -2.218 9.354
2.218 2.218 -9.354
```

x) VASP calculation (GGA-PBE) on crystalline LaMo2W at its relaxed geometry. Values from VASP.

Geometry as Quantum ESPRESSO input:
```
&SYSTEM
  ibrav = 0, nat = 4, ntyp = 3
/
ATOMIC_SPECIES
La 138.91 La.upf
Mo 95.94 Mo.upf
W 183.84 W.upf
ATOMIC_POSITIONS angstrom
La 0.000 0.000 0.000
Mo 0.991 2.273 1.335
Mo 0.991 -2.273 1.335
W 3.053 0.000 0.000
CELL_PARAMETERS angstrom
3.053 -4.546 0.000
3.053 4.546 0.000
-1.071 0.000 2.670
```

y) VASP calculation (GGA-PBE) on crystalline LaMo2W at its relaxed geometry. Values from VASP.

Geometry as Quantum ESPRESSO input:
```
&SYSTEM
  ibrav = 0, nat = 4, ntyp = 3
/
ATOMIC_SPECIES
La 138.91 La.upf
Mo 95.94 Mo.upf
W 183.84 W.upf
ATOMIC_POSITIONS angstrom
La 0.000 0.000 0.000
Mo 0.000 0.000 4.843
Mo 1.611 0.000 2.741
W 1.611 0.000 6.960
CELL_PARAMETERS angstrom
1.611 -2.391 0.000
1.611 2.391 0.000
0.000 0.000 9.737
```

z) VASP calculation (GGA-PBE) on crystalline LaMo2W at its relaxed geometry. Values from VASP.

Geometry as Quantum ESPRESSO input:
```
&SYSTEM
  ibrav = 0, nat = 4, ntyp = 3
/
ATOMIC_SPECIES
La 138.91 La.upf
Mo 95.94 Mo.upf
W 183.84 W.upf
ATOMIC_POSITIONS angstrom
La 0.000 0.000 0.000
Mo 0.911 0.000 3.207
Mo 1.881 2.158 2.061
W -0.076 2.158 4.349
CELL_PARAMETERS angstrom
2.963 0.000 0.000
0.000 4.316 0.000
-1.231 0.000 6.416
```

Least stable structure: w)

w) VASP calculation (GGA-PBE) on crystalline LaMoW at its relaxed geometry. Values from VASP.

Geometry as Quantum ESPRESSO input:
```
&SYSTEM
  ibrav = 0, nat = 3, ntyp = 3
/
ATOMIC_SPECIES
La 138.91 La.upf
Mo 95.94 Mo.upf
W 183.84 W.upf
ATOMIC_POSITIONS angstrom
La 0.000 0.000 0.000
Mo 0.000 0.000 3.580
W 0.000 0.000 8.213
CELL_PARAMETERS angstrom
-1.644 1.644 5.895
1.644 -1.644 5.895
1.644 1.644 -5.895
```

x) VASP calculation (GGA-PBE) on crystalline LaMoW at its relaxed geometry. Values from VASP.

Geometry as Quantum ESPRESSO input:
```
&SYSTEM
  ibrav = 0, nat = 3, ntyp = 3
/
ATOMIC_SPECIES
La 138.91 La.upf
Mo 95.94 Mo.upf
W 183.84 W.upf
ATOMIC_POSITIONS angstrom
La 0.000 0.000 0.000
Mo 1.612 2.522 10.129
W 1.612 2.522 4.677
CELL_PARAMETERS angstrom
0.000 2.522 7.421
1.612 0.000 7.421
1.612 2.522 0.000
```

Least stable structure: x)

w) VASP calculation (GGA-PBE) on crystalline LaMoW at its relaxed geometry. Values from VASP.

Geometry as Quantum ESPRESSO input:
```
&SYSTEM
  ibrav = 0, nat = 3, ntyp = 3
/
ATOMIC_SPECIES
La 138.91 La.upf
Mo 95.94 Mo.upf
W 183.84 W.upf
ATOMIC_POSITIONS angstrom
La 0.000 0.000 0.000
Mo 1.604 0.926 2.689
W 0.000 1.852 4.448
CELL_PARAMETERS angstrom
3.207 0.000 0.000
-1.604 2.777 0.000
0.000 0.000 7.155
```

x) VASP calculation (GGA-PBE) on crystalline LaMoW at its relaxed geometry. Values from VASP.

Geometry as Quantum ESPRESSO input:
```
&SYSTEM
  ibrav = 0, nat = 3, ntyp = 3
/
ATOMIC_SPECIES
La 138.91 La.upf
Mo 95.94 Mo.upf
W 183.84 W.upf
ATOMIC_POSITIONS angstrom
La 0.000 0.000 0.000
Mo 1.629 1.629 1.629
W 3.258 3.258 3.258
CELL_PARAMETERS angstrom
0.000 3.258 3.258
3.258 0.000 3.258
3.258 3.258 0.000
```

Least stable structure: x)

w) VASP calculation (GGA-PBE) on crystalline LaMoW2 at its relaxed geometry. Values from VASP.

Geometry as Quantum ESPRESSO input:
```
&SYSTEM
  ibrav = 0, nat = 4, ntyp = 3
/
ATOMIC_SPECIES
La 138.91 La.upf
Mo 95.94 Mo.upf
W 183.84 W.upf
ATOMIC_POSITIONS angstrom
La 0.000 0.000 0.000
Mo 1.613 0.000 7.029
W 0.000 0.000 4.911
W 1.613 0.000 2.775
CELL_PARAMETERS angstrom
1.613 -2.385 0.000
1.613 2.385 0.000
0.000 0.000 9.766
```

x) VASP calculation (GGA-PBE) on crystalline LaMoW2 at its relaxed geometry. Values from VASP.

Geometry as Quantum ESPRESSO input:
```
&SYSTEM
  ibrav = 0, nat = 4, ntyp = 3
/
ATOMIC_SPECIES
La 138.91 La.upf
Mo 95.94 Mo.upf
W 183.84 W.upf
ATOMIC_POSITIONS angstrom
La 0.000 0.000 0.000
Mo 1.598 0.000 2.430
W 0.000 0.000 4.629
W 0.000 2.578 2.160
CELL_PARAMETERS angstrom
-1.598 2.578 4.653
1.598 -2.578 4.653
1.598 2.578 -4.653
```

Least stable structure: x)

w) VASP calculation (GGA-PBE) on crystalline LaMoW3 at its relaxed geometry. Values from VASP.

Geometry as Quantum ESPRESSO input:
```
&SYSTEM
  ibrav = 0, nat = 5, ntyp = 3
/
ATOMIC_SPECIES
La 138.91 La.upf
Mo 95.94 Mo.upf
W 183.84 W.upf
ATOMIC_POSITIONS angstrom
La 0.000 0.000 0.000
Mo 2.369 2.369 2.369
W 0.000 0.000 2.369
W 0.000 2.369 0.000
W 2.369 0.000 0.000
CELL_PARAMETERS angstrom
4.739 0.000 0.000
0.000 4.739 0.000
0.000 0.000 4.739
```

x) VASP calculation (GGA-PBE) on crystalline LaMoW3 at its relaxed geometry. Values from VASP.

Geometry as Quantum ESPRESSO input:
```
&SYSTEM
  ibrav = 0, nat = 5, ntyp = 3
/
ATOMIC_SPECIES
La 138.91 La.upf
Mo 95.94 Mo.upf
W 183.84 W.upf
ATOMIC_POSITIONS angstrom
La 0.000 0.000 0.000
Mo 2.430 2.430 2.430
W 0.000 2.430 2.430
W 2.430 0.000 2.430
W 2.430 2.430 0.000
CELL_PARAMETERS angstrom
4.860 0.000 0.000
0.000 4.860 0.000
0.000 0.000 4.860
```

Least stable structure: w)

w) VASP calculation (GGA-PBE) on crystalline LaY2Mo at its relaxed geometry. Values from VASP.

Geometry as Quantum ESPRESSO input:
```
&SYSTEM
  ibrav = 0, nat = 4, ntyp = 3
/
ATOMIC_SPECIES
La 138.91 La.upf
Y 88.91 Y.upf
Mo 95.94 Mo.upf
ATOMIC_POSITIONS angstrom
La 0.000 0.000 0.000
Y 0.000 0.000 6.345
Y 1.886 0.000 3.327
Mo 1.886 0.000 8.535
CELL_PARAMETERS angstrom
1.886 -2.810 0.000
1.886 2.810 0.000
0.000 0.000 10.585
```

x) VASP calculation (GGA-PBE) on crystalline LaY2Mo at its relaxed geometry. Values from VASP.

Geometry as Quantum ESPRESSO input:
```
&SYSTEM
  ibrav = 0, nat = 4, ntyp = 3
/
ATOMIC_SPECIES
La 138.91 La.upf
Y 88.91 Y.upf
Mo 95.94 Mo.upf
ATOMIC_POSITIONS angstrom
La 0.000 0.000 0.000
Y 2.456 0.000 2.183
Y 0.000 2.456 2.183
Mo 0.000 0.000 4.367
CELL_PARAMETERS angstrom
-2.456 2.456 4.367
2.456 -2.456 4.367
2.456 2.456 -4.367
```

Least stable structure: x)

w) VASP calculation (GGA-PBE) on crystalline LaY2Mo at its relaxed geometry. Values from VASP.

Geometry as Quantum ESPRESSO input:
```
&SYSTEM
  ibrav = 0, nat = 4, ntyp = 3
/
ATOMIC_SPECIES
La 138.91 La.upf
Y 88.91 Y.upf
Mo 95.94 Mo.upf
ATOMIC_POSITIONS angstrom
La 0.000 0.000 0.000
Y 0.000 0.000 3.445
Y 1.791 1.791 6.064
Mo 1.791 1.791 1.688
CELL_PARAMETERS angstrom
3.581 0.000 0.000
0.000 3.581 0.000
0.000 0.000 8.718
```

x) VASP calculation (GGA-PBE) on crystalline LaY2Mo at its relaxed geometry. Values from VASP.

Geometry as Quantum ESPRESSO input:
```
&SYSTEM
  ibrav = 0, nat = 4, ntyp = 3
/
ATOMIC_SPECIES
La 138.91 La.upf
Y 88.91 Y.upf
Mo 95.94 Mo.upf
ATOMIC_POSITIONS angstrom
La 0.000 0.000 0.000
Y 1.862 0.000 3.355
Y 0.000 2.650 2.317
Mo 0.000 0.000 5.671
CELL_PARAMETERS angstrom
-1.862 2.650 5.671
1.862 -2.650 5.671
1.862 2.650 -5.671
```

Least stable structure: x)